Entry 1:
## SiPt2Se (PBE)

Data for an optimized crystal structure of SiPt2Se. Values from VASP.

Geometry as Quantum ESPRESSO input:
```
&SYSTEM
  ibrav = 0, nat = 4, ntyp = 3
/
ATOMIC_SPECIES
Pt 195.08 Pt.upf
Se 78.96 Se.upf
Si 28.09 Si.upf
CELL_PARAMETERS angstrom
-1.409 1.319 4.103
-4.348 -0.517 1.178
-1.154 -3.097 3.104
ATOMIC_POSITIONS crystal
Pt 0.000 0.000 0.000
Pt 0.250 0.250 0.250
Se 0.500 0.500 0.500
Si 0.750 0.750 0.750
```

For the formation energy without anion corrections, the calculation gives 274.8 meV/atom. The value obtained for the total energy is -4.973 eV/atom. Its symmetry is F-43m (216). Its density is 12.53 g/cm3. As for the offset from the most stable computed form: 56.8 kJ/mol of atoms. For the density of states at the Fermi level, the calculation gives 1.2 states/eV per cell.


Entry 2:
## SiPt2Se (PBE)

Data for an optimized crystal structure of SiPt2Se. Values from VASP.

Geometry as Quantum ESPRESSO input:
```
&SYSTEM
  ibrav = 0, nat = 4, ntyp = 3
/
ATOMIC_SPECIES
Si 28.09 Si.upf
Pt 195.08 Pt.upf
Se 78.96 Se.upf
CELL_PARAMETERS angstrom
4.555 0.326 0.090
-1.570 4.288 0.090
1.399 2.162 3.616
ATOMIC_POSITIONS crystal
Si 0.000 0.500 0.500
Pt 0.500 0.500 0.000
Pt 0.000 0.000 0.000
Se 0.500 0.000 0.500
```

For the formation energy without anion corrections, the calculation gives -82.8 meV/atom. The value obtained for the total energy is -5.330 eV/atom. Its symmetry is C2/m (12). Its density is 11.66 g/cm3. As for the offset from the most stable computed form: 22.3 kJ/mol of atoms. For the density of states at the Fermi level, the calculation gives 2.1 states/eV per cell.


Entry 3:
## Si2PtSe (PBE)

Data for an optimized crystal structure of Si2PtSe. Values from VASP.

Geometry as Quantum ESPRESSO input:
```
&SYSTEM
  ibrav = 0, nat = 4, ntyp = 3
/
ATOMIC_SPECIES
Si 28.09 Si.upf
Pt 195.08 Pt.upf
Se 78.96 Se.upf
CELL_PARAMETERS angstrom
-1.294 1.344 5.445
-5.477 0.350 1.733
4.524 -2.927 -2.025
ATOMIC_POSITIONS crystal
Si 0.731 0.231 0.500
Si 0.961 0.961 0.000
Pt 0.529 0.529 0.000
Se 0.280 0.780 0.500
```

For the formation energy without anion corrections, the calculation gives 189.6 meV/atom. The value obtained for the total energy is -4.903 eV/atom. Its symmetry is Imm2 (44). Its density is 7.99 g/cm3. For the density of states at the Fermi level, the calculation gives 1.8 states/eV per cell.


Entry 4:
## Si2PtSe (PBE)

Data for an optimized crystal structure of Si2PtSe. Values from VASP.

Geometry as Quantum ESPRESSO input:
```
&SYSTEM
  ibrav = 0, nat = 4, ntyp = 3
/
ATOMIC_SPECIES
Pt 195.08 Pt.upf
Se 78.96 Se.upf
Si 28.09 Si.upf
CELL_PARAMETERS angstrom
6.000 -0.038 -0.058
5.335 2.745 -0.058
1.760 0.420 4.145
ATOMIC_POSITIONS crystal
Pt 0.750 0.750 0.750
Se 0.250 0.250 0.250
Si 0.042 0.042 0.956
Si 0.458 0.458 0.544
```

For the formation energy without anion corrections, the calculation gives 210.6 meV/atom. The value obtained for the total energy is -4.882 eV/atom. Its symmetry is C2/m (12). Its density is 7.90 g/cm3. For the density of states at the Fermi level, the calculation gives 1.9 states/eV per cell.


Entry 5:
## Si2PtSe (PBE)

Data for an optimized crystal structure of Si2PtSe. Values from VASP.

Geometry as Quantum ESPRESSO input:
```
&SYSTEM
  ibrav = 0, nat = 4, ntyp = 3
/
ATOMIC_SPECIES
Se 78.96 Se.upf
Si 28.09 Si.upf
Pt 195.08 Pt.upf
CELL_PARAMETERS angstrom
-0.956 -4.130 -2.433
3.658 -0.605 -0.410
0.045 -1.901 3.209
ATOMIC_POSITIONS crystal
Se 0.500 0.000 0.500
Si 0.000 0.500 0.500
Si 0.000 0.000 0.000
Pt 0.500 0.500 0.000
```

For the formation energy without anion corrections, the calculation gives 374.0 meV/atom. The value obtained for the total energy is -4.719 eV/atom. Its symmetry is P4/mmm (123). Its density is 8.06 g/cm3. For the density of states at the Fermi level, the calculation gives 2.6 states/eV per cell.


Entry 6:
## SiPtSe4 (PBE)

Data for an optimized crystal structure of SiPtSe4. Values from VASP.

Geometry as Quantum ESPRESSO input:
```
&SYSTEM
  ibrav = 0, nat = 6, ntyp = 3
/
ATOMIC_SPECIES
Se 78.96 Se.upf
Pt 195.08 Pt.upf
Si 28.09 Si.upf
CELL_PARAMETERS angstrom
-1.824 1.088 5.170
-3.447 4.306 0.899
-5.348 -0.931 1.331
ATOMIC_POSITIONS crystal
Se 0.373 0.881 0.373
Se 0.373 0.373 0.373
Se 0.881 0.373 0.373
Se 0.373 0.373 0.881
Pt 0.000 0.000 0.000
Si 0.750 0.750 0.750
```

For the formation energy without anion corrections, the calculation gives 971.7 meV/atom. The value obtained for the total energy is -3.262 eV/atom. Its symmetry is F-43m (216). Its density is 7.25 g/cm3. For the density of states at the Fermi level, the calculation gives 5.8 states/eV per cell.


Entry 7:
## Si2PtSe (PBE)

Data for an optimized crystal structure of Si2PtSe. Values from VASP.

Geometry as Quantum ESPRESSO input:
```
&SYSTEM
  ibrav = 0, nat = 4, ntyp = 3
/
ATOMIC_SPECIES
Si 28.09 Si.upf
Pt 195.08 Pt.upf
Se 78.96 Se.upf
CELL_PARAMETERS angstrom
5.648 0.099 -0.857
4.817 2.949 -0.857
1.491 0.434 4.807
ATOMIC_POSITIONS crystal
Si 0.088 0.088 0.681
Si 0.743 0.743 0.875
Pt 0.418 0.418 0.659
Se 0.251 0.251 0.285
```

For the formation energy without anion corrections, the calculation gives 7.3 meV/atom. The value obtained for the total energy is -5.086 eV/atom. Its symmetry is Cm (8). Its density is 6.71 g/cm3. For the density of states at the Fermi level, the calculation gives 1.3 states/eV per cell.


Entry 8:
## Si2PtSe (PBE)

Data for an optimized crystal structure of Si2PtSe. Values from VASP.

Geometry as Quantum ESPRESSO input:
```
&SYSTEM
  ibrav = 0, nat = 4, ntyp = 3
/
ATOMIC_SPECIES
Se 78.96 Se.upf
Pt 195.08 Pt.upf
Si 28.09 Si.upf
CELL_PARAMETERS angstrom
2.923 0.000 0.000
0.000 3.299 0.000
0.000 0.000 6.888
ATOMIC_POSITIONS crystal
Se 0.500 0.500 0.750
Pt 0.500 0.500 0.250
Si 0.000 0.000 0.469
Si 0.000 0.000 0.031
```

For the formation energy without anion corrections, the calculation gives 126.8 meV/atom. The value obtained for the total energy is -4.966 eV/atom. Its symmetry is Pmmm (47). Its density is 8.25 g/cm3. For the density of states at the Fermi level, the calculation gives 1.8 states/eV per cell.


Entry 9:
## Si2PtSe (PBE)

Data for an optimized crystal structure of Si2PtSe. Values from VASP.

Geometry as Quantum ESPRESSO input:
```
&SYSTEM
  ibrav = 0, nat = 4, ntyp = 3
/
ATOMIC_SPECIES
Pt 195.08 Pt.upf
Se 78.96 Se.upf
Si 28.09 Si.upf
CELL_PARAMETERS angstrom
4.592 0.025 0.000
-1.180 4.438 0.000
0.000 0.000 3.236
ATOMIC_POSITIONS crystal
Pt 0.500 0.000 0.500
Se 0.000 0.500 0.500
Si 0.500 0.500 0.000
Si 0.000 0.000 0.000
```

For the formation energy without anion corrections, the calculation gives 266.6 meV/atom. The value obtained for the total energy is -4.826 eV/atom. Its symmetry is Cmmm (65). Its density is 8.30 g/cm3. For the density of states at the Fermi level, the calculation gives 1.8 states/eV per cell.


Entry 10:
## Si2PtSe (PBE)

Data for an optimized crystal structure of Si2PtSe. Values from VASP.

Geometry as Quantum ESPRESSO input:
```
&SYSTEM
  ibrav = 0, nat = 4, ntyp = 3
/
ATOMIC_SPECIES
Si 28.09 Si.upf
Se 78.96 Se.upf
Pt 195.08 Pt.upf
CELL_PARAMETERS angstrom
2.973 -0.102 0.000
-0.203 2.968 0.000
0.000 0.000 7.594
ATOMIC_POSITIONS crystal
Si 0.000 0.000 0.036
Si 0.500 0.500 0.259
Se 0.500 0.500 0.762
Pt 0.000 0.000 0.443
```

For the formation energy without anion corrections, the calculation gives 182.6 meV/atom. The value obtained for the total energy is -4.910 eV/atom. Its symmetry is Cmm2 (35). Its density is 8.20 g/cm3. For the density of states at the Fermi level, the calculation gives 1.2 states/eV per cell.


Entry 11:
## Si2PtSe (PBE)

Data for an optimized crystal structure of Si2PtSe. Values from VASP.

Geometry as Quantum ESPRESSO input:
```
&SYSTEM
  ibrav = 0, nat = 4, ntyp = 3
/
ATOMIC_SPECIES
Pt 195.08 Pt.upf
Si 28.09 Si.upf
Se 78.96 Se.upf
CELL_PARAMETERS angstrom
-1.080 0.807 -3.716
3.831 -1.430 -1.424
-0.358 -4.254 -0.820
ATOMIC_POSITIONS crystal
Pt 0.000 0.477 0.470
Si 0.000 0.065 0.043
Si 0.500 0.246 0.289
Se 0.500 0.712 0.699
```

For the formation energy without anion corrections, the calculation gives -161.4 meV/atom. The value obtained for the total energy is -5.254 eV/atom. Its symmetry is Pm (6). Its density is 7.76 g/cm3. For the density of states at the Fermi level, the calculation gives 1.0 states/eV per cell.


Entry 12:
## SrSiPtSe2 (PBE)

Data for an optimized crystal structure of SrSiPtSe2. Values from VASP.

Geometry as Quantum ESPRESSO input:
```
&SYSTEM
  ibrav = 0, nat = 5, ntyp = 4
/
ATOMIC_SPECIES
Pt 195.08 Pt.upf
Si 28.09 Si.upf
Sr 87.62 Sr.upf
Se 78.96 Se.upf
CELL_PARAMETERS angstrom
-2.902 -4.802 -0.421
-0.295 -0.286 5.290
-4.810 2.917 -0.111
ATOMIC_POSITIONS crystal
Pt 0.000 0.500 0.000
Si 0.500 0.500 0.500
Sr 0.000 0.000 0.000
Se 0.000 0.000 0.500
Se 0.500 0.000 0.000
```

For the formation energy without anion corrections, the calculation gives 992.6 meV/atom. The value obtained for the total energy is -3.030 eV/atom. Its symmetry is P4/mmm (123). Its density is 4.63 g/cm3. For the density of states at the Fermi level, the calculation gives 8.0 states/eV per cell.


Entry 13:
## TaSiPt2Se (PBE)

Data for an optimized crystal structure of TaSiPt2Se. Values from VASP.

Geometry as Quantum ESPRESSO input:
```
&SYSTEM
  ibrav = 0, nat = 5, ntyp = 4
/
ATOMIC_SPECIES
Ta 180.95 Ta.upf
Si 28.09 Si.upf
Se 78.96 Se.upf
Pt 195.08 Pt.upf
CELL_PARAMETERS angstrom
-2.559 3.687 0.353
-3.472 -2.177 -2.433
-1.721 -1.564 3.855
ATOMIC_POSITIONS crystal
Ta 0.500 0.500 0.500
Si 0.000 0.000 0.000
Se 0.000 0.500 0.000
Pt 0.500 0.000 0.000
Pt 0.000 0.000 0.500
```

For the formation energy without anion corrections, the calculation gives 622.9 meV/atom. The value obtained for the total energy is -5.945 eV/atom. Its symmetry is P4/mmm (123). Its density is 11.66 g/cm3. For the density of states at the Fermi level, the calculation gives 5.1 states/eV per cell.